Record 1
Computed, not measured: a relaxed structure of K2PdPtO at the PBEsol level of DFT.

a = 6.219 Å, b = 6.219 Å, c = 3.643 Å
α = 90.00°, β = 90.00°, γ = 90.00°
Positions (direct):
K (0.000, 0.500, 0.000)
K (0.500, 0.000, 0.000)
Pd (0.000, 0.000, 0.500)
Pt (0.500, 0.500, 0.000)
O (0.500, 0.500, 0.500)

Calculated values
Total DFT energy (no corrections) ... -20.407 eV per cell
Raw formation energy ... 0.14 kcal/mol of atoms
Magnetization ... 0.10 μB per formula unit
Symmetry ... P4/mmm (123)



Record 2
Computed, not measured: a relaxed structure of KRbPd2O at the PBEsol level of DFT.

a = 5.032 Å, b = 5.032 Å, c = 10.022 Å
α = 90.00°, β = 90.00°, γ = 90.00°
Positions (direct):
K (0.000, 0.000, 0.000)
Rb (0.000, 0.000, 0.500)
Pd (0.000, 0.500, 0.500)
Pd (0.500, 0.000, 0.500)
O (0.500, 0.500, 0.000)

Calculated values
Total DFT energy (no corrections) ... -13.080 eV per cell
Raw formation energy ... 28.80 kcal/mol of atoms
Magnetization ... 1.09 μB per formula unit
Symmetry ... P4/mmm (123)



Record 3
Computed, not measured: a relaxed structure of K2PdS8O26 at the PBEsol level of DFT.

a = 7.479 Å, b = 8.919 Å, c = 8.922 Å
α = 78.74°, β = 89.83°, γ = 71.37°
Positions (direct):
K (0.123, 0.264, 0.349)
K (0.877, 0.736, 0.651)
Pd (0.500, 0.000, 0.000)
S (0.138, 0.689, 0.038)
S (0.233, 0.780, 0.316)
S (0.332, 0.830, 0.795)
S (0.361, 0.314, 0.731)
S (0.639, 0.686, 0.269)
S (0.668, 0.170, 0.205)
S (0.767, 0.220, 0.684)
S (0.862, 0.311, 0.962)
O (0.031, 0.228, 0.057)
O (0.115, 0.705, 0.405)
O (0.154, 0.822, 0.136)
O (0.167, 0.538, 0.138)
O (0.177, 0.859, 0.688)
O (0.237, 0.476, 0.714)
O (0.252, 0.929, 0.335)
O (0.298, 0.966, 0.877)
O (0.318, 0.673, 0.943)
O (0.337, 0.216, 0.627)
O (0.405, 0.233, 0.895)
O (0.429, 0.646, 0.319)
O (0.478, 0.239, 0.244)
O (0.522, 0.761, 0.756)
O (0.571, 0.354, 0.681)
O (0.595, 0.767, 0.105)
O (0.663, 0.784, 0.373)
O (0.682, 0.327, 0.057)
O (0.702, 0.034, 0.123)
O (0.748, 0.071, 0.665)
O (0.763, 0.524, 0.286)
O (0.823, 0.141, 0.312)
O (0.833, 0.462, 0.862)
O (0.846, 0.178, 0.864)
O (0.885, 0.295, 0.595)
O (0.969, 0.772, 0.943)

Calculated values
Total DFT energy (no corrections) ... -227.326 eV per cell
Raw formation energy ... -29.63 kcal/mol of atoms
Magnetization ... 0.06 μB per formula unit
Symmetry ... P-1 (2)



Record 4
Computed, not measured: a relaxed structure of KSmPdO3 at the PBEsol level of DFT.

a = 6.801 Å, b = 6.801 Å, c = 7.357 Å
α = 104.07°, β = 104.07°, γ = 33.24°
Positions (direct):
K (0.143, 0.143, 0.064)
K (0.857, 0.857, 0.936)
Sm (0.150, 0.150, 0.578)
Sm (0.850, 0.850, 0.422)
Pd (0.493, 0.493, 0.724)
Pd (0.507, 0.507, 0.276)
O (0.006, 0.006, 0.311)
O (0.331, 0.331, 0.633)
O (0.347, 0.347, 0.224)
O (0.653, 0.653, 0.776)
O (0.669, 0.669, 0.367)
O (0.994, 0.994, 0.689)

Calculated values
Total DFT energy (no corrections) ... -79.874 eV per cell
Raw formation energy ... -46.14 kcal/mol of atoms
Magnetization ... 0.00 μB per formula unit
Symmetry ... C2/m (12)



Record 5
Computed, not measured: a relaxed structure of KZrPd2O at the PBEsol level of DFT.

a = 4.307 Å, b = 4.307 Å, c = 4.586 Å
α = 90.00°, β = 90.00°, γ = 90.00°
Positions (direct):
K (0.000, 0.000, 0.000)
Zr (0.500, 0.500, 0.000)
Pd (0.000, 0.500, 0.500)
Pd (0.500, 0.000, 0.500)
O (0.000, 0.000, 0.500)

Calculated values
Total DFT energy (no corrections) ... -26.255 eV per cell
Raw formation energy ... 5.23 kcal/mol of atoms
Magnetization ... 0.00 μB per formula unit
Symmetry ... P4/mmm (123)



Record 6
Computed, not measured: a relaxed structure of KPrO2 at the PBEsol level of DFT.

a = 6.555 Å, b = 6.555 Å, c = 6.555 Å
α = 32.19°, β = 32.19°, γ = 32.19°
Positions (direct):
K (0.000, 0.000, 0.000)
Pr (0.500, 0.500, 0.500)
O (0.231, 0.231, 0.231)
O (0.769, 0.769, 0.769)

Calculated values
Total DFT energy (no corrections) ... -27.196 eV per cell
Raw formation energy ... -59.84 kcal/mol of atoms
Magnetization ... 0.00 μB per formula unit
Symmetry ... R-3m (166)



Record 7
Computed, not measured: a relaxed structure of KPr9Si6O26 at the PBEsol level of DFT.

a = 9.589 Å, b = 9.589 Å, c = 7.147 Å
α = 90.00°, β = 90.00°, γ = 120.00°
Positions (direct):
K (0.000, 0.000, 0.000)
Pr (0.000, 0.000, 0.499)
Pr (0.090, 0.654, 0.252)
Pr (0.100, 0.419, 0.756)
Pr (0.319, 0.900, 0.756)
Pr (0.346, 0.435, 0.252)
Pr (0.565, 0.910, 0.252)
Pr (0.581, 0.681, 0.756)
Pr (0.667, 0.333, 0.003)
Pr (0.667, 0.333, 0.504)
Si (0.304, 0.037, 0.256)
Si (0.366, 0.300, 0.747)
Si (0.700, 0.066, 0.747)
Si (0.732, 0.696, 0.256)
Si (0.934, 0.634, 0.747)
Si (0.963, 0.268, 0.256)
O (0.022, 0.827, 0.732)
O (0.084, 0.328, 0.439)
O (0.086, 0.340, 0.077)
O (0.173, 0.195, 0.732)
O (0.217, 0.144, 0.270)
O (0.244, 0.916, 0.439)
O (0.253, 0.914, 0.077)
O (0.333, 0.667, 0.266)
O (0.333, 0.667, 0.753)
O (0.427, 0.416, 0.935)
O (0.444, 0.420, 0.565)
O (0.461, 0.196, 0.756)
O (0.502, 0.154, 0.252)
O (0.580, 0.023, 0.565)
O (0.584, 0.012, 0.935)
O (0.652, 0.498, 0.252)
O (0.660, 0.747, 0.077)
O (0.672, 0.756, 0.439)
O (0.735, 0.539, 0.756)
O (0.804, 0.265, 0.756)
O (0.805, 0.978, 0.732)
O (0.846, 0.348, 0.252)
O (0.856, 0.073, 0.270)
O (0.927, 0.783, 0.270)
O (0.977, 0.556, 0.565)
O (0.988, 0.573, 0.935)

Calculated values
Total DFT energy (no corrections) ... -353.919 eV per cell
Raw formation energy ... -74.21 kcal/mol of atoms
Magnetization ... 0.01 μB per formula unit
Symmetry ... P3 (143)



Record 8
Computed, not measured: a relaxed structure of KPrW2O8 at the PBEsol level of DFT.

a = 7.448 Å, b = 7.448 Å, c = 7.515 Å
α = 114.02°, β = 114.02°, γ = 92.84°
Positions (direct):
K (0.191, 0.191, 0.028)
K (0.809, 0.809, 0.972)
Pr (0.196, 0.804, 0.500)
Pr (0.804, 0.196, 0.500)
W (0.297, 0.297, 0.556)
W (0.337, 0.663, 0.000)
W (0.663, 0.337, 0.000)
W (0.703, 0.703, 0.444)
O (0.074, 0.074, 0.392)
O (0.155, 0.406, 0.762)
O (0.190, 0.718, 0.145)
O (0.203, 0.458, 0.435)
O (0.282, 0.810, 0.855)
O (0.406, 0.155, 0.762)
O (0.458, 0.203, 0.435)
O (0.484, 0.484, 0.157)
O (0.516, 0.516, 0.843)
O (0.542, 0.797, 0.565)
O (0.594, 0.845, 0.238)
O (0.718, 0.190, 0.145)
O (0.797, 0.542, 0.565)
O (0.810, 0.282, 0.855)
O (0.845, 0.594, 0.238)
O (0.926, 0.926, 0.608)

Calculated values
Total DFT energy (no corrections) ... -212.490 eV per cell
Raw formation energy ... -58.26 kcal/mol of atoms
Magnetization ... 0.00 μB per formula unit
Symmetry ... C2/m (12)



Record 9
Computed, not measured: a relaxed structure of K3Pt2O4 at the PBEsol level of DFT.

a = 5.527 Å, b = 5.527 Å, c = 11.494 Å
α = 90.00°, β = 90.00°, γ = 113.95°
Positions (direct):
K (0.147, 0.853, 0.567)
K (0.147, 0.853, 0.933)
K (0.217, 0.783, 0.250)
K (0.783, 0.217, 0.750)
K (0.853, 0.147, 0.067)
K (0.853, 0.147, 0.433)
Pt (0.419, 0.581, 0.750)
Pt (0.500, 0.500, 0.000)
Pt (0.500, 0.500, 0.500)
Pt (0.581, 0.419, 0.250)
O (0.203, 0.378, 0.614)
O (0.203, 0.378, 0.886)
O (0.378, 0.203, 0.114)
O (0.378, 0.203, 0.386)
O (0.622, 0.797, 0.614)
O (0.622, 0.797, 0.886)
O (0.797, 0.622, 0.114)
O (0.797, 0.622, 0.386)

Calculated values
Total DFT energy (no corrections) ... -95.933 eV per cell
Raw formation energy ... -24.71 kcal/mol of atoms
Magnetization ... 0.37 μB per formula unit
Symmetry ... Cmcm (63)



Record 10
Computed, not measured: a relaxed structure of KPt3O4 at the PBEsol level of DFT.

a = 5.766 Å, b = 5.766 Å, c = 5.766 Å
α = 90.00°, β = 90.00°, γ = 90.00°
Positions (direct):
K (0.000, 0.000, 0.000)
K (0.500, 0.500, 0.500)
Pt (0.000, 0.250, 0.500)
Pt (0.000, 0.750, 0.500)
Pt (0.250, 0.500, 0.000)
Pt (0.500, 0.000, 0.250)
Pt (0.500, 0.000, 0.750)
Pt (0.750, 0.500, 0.000)
O (0.250, 0.250, 0.250)
O (0.250, 0.250, 0.750)
O (0.250, 0.750, 0.250)
O (0.250, 0.750, 0.750)
O (0.750, 0.250, 0.250)
O (0.750, 0.250, 0.750)
O (0.750, 0.750, 0.250)
O (0.750, 0.750, 0.750)

Calculated values
Total DFT energy (no corrections) ... -96.650 eV per cell
Raw formation energy ... -15.29 kcal/mol of atoms
Magnetization ... 0.00 μB per formula unit
Symmetry ... Pm-3n (223)



Record 11
Computed, not measured: a relaxed structure of KPt2O at the PBEsol level of DFT.

a = 7.029 Å, b = 7.029 Å, c = 7.029 Å
α = 135.25°, β = 135.25°, γ = 65.14°
Positions (direct):
K (0.375, 0.625, 0.750)
K (0.625, 0.375, 0.250)
Pt (0.000, 0.000, 0.000)
Pt (0.000, 0.000, 0.500)
Pt (0.000, 0.500, 0.000)
Pt (0.500, 0.000, 0.500)
O (0.125, 0.875, 0.250)
O (0.875, 0.125, 0.750)

Calculated values
Total DFT energy (no corrections) ... -42.234 eV per cell
Raw formation energy ... -4.65 kcal/mol of atoms
Magnetization ... 0.00 μB per formula unit
Symmetry ... I4_1/amd (141)



Record 12
Computed, not measured: a relaxed structure of K2PuO4 at the PBEsol level of DFT.

a = 7.208 Å, b = 7.208 Å, c = 7.208 Å
α = 145.61°, β = 145.61°, γ = 49.43°
Positions (direct):
K (0.149, 0.149, 0.000)
K (0.851, 0.851, 0.000)
Pu (0.500, 0.500, 0.000)
O (0.000, 0.500, 0.500)
O (0.354, 0.354, 0.000)
O (0.500, 0.000, 0.500)
O (0.646, 0.646, 0.000)

Calculated values
Total DFT energy (no corrections) ... -54.615 eV per cell
Raw formation energy ... -53.36 kcal/mol of atoms
Magnetization ... 2.00 μB per formula unit
Symmetry ... I4/mmm (139)



Record 13
Computed, not measured: a relaxed structure of K2Rb2O at the PBEsol level of DFT.

a = 12.210 Å, b = 12.210 Å, c = 12.210 Å
α = 157.62°, β = 157.62°, γ = 31.86°
Positions (direct):
K (0.065, 0.065, 0.000)
K (0.935, 0.935, 0.000)
Rb (0.250, 0.750, 0.500)
Rb (0.750, 0.250, 0.500)
O (0.500, 0.500, 0.000)

Calculated values
Total DFT energy (no corrections) ... -7.992 eV per cell
Raw formation energy ... 7.26 kcal/mol of atoms
Magnetization ... 0.27 μB per formula unit
Symmetry ... I4/mmm (139)



Record 14
Computed, not measured: a relaxed structure of K2RbO at the PBEsol level of DFT.

a = 8.194 Å, b = 8.194 Å, c = 8.194 Å
α = 60.00°, β = 60.00°, γ = 60.00°
Positions (direct):
K (0.000, 0.000, 0.000)
K (0.000, 0.000, 0.500)
K (0.000, 0.500, 0.000)
K (0.500, 0.000, 0.000)
Rb (0.375, 0.375, 0.375)
Rb (0.625, 0.625, 0.625)
O (0.125, 0.125, 0.125)
O (0.875, 0.875, 0.875)

Calculated values
Total DFT energy (no corrections) ... -21.703 eV per cell
Raw formation energy ... -13.32 kcal/mol of atoms
Magnetization ... 0.00 μB per formula unit
Symmetry ... Fd-3m (227)



Record 15
Computed, not measured: a relaxed structure of KRbSc2O at the PBEsol level of DFT.

a = 5.253 Å, b = 5.253 Å, c = 6.209 Å
α = 90.00°, β = 90.00°, γ = 90.00°
Positions (direct):
K (0.000, 0.000, 0.000)
Rb (0.000, 0.000, 0.500)
Sc (0.000, 0.500, 0.500)
Sc (0.500, 0.000, 0.500)
O (0.500, 0.500, 0.000)

Calculated values
Total DFT energy (no corrections) ... -11.790 eV per cell
Raw formation energy ... 40.71 kcal/mol of atoms
Magnetization ... 2.45 μB per formula unit
Symmetry ... P4/mmm (123)



Record 16
Computed, not measured: a relaxed structure of K2RbSmV2O8 at the PBEsol level of DFT.

a = 5.989 Å, b = 5.989 Å, c = 7.658 Å
α = 90.00°, β = 90.00°, γ = 120.00°
Positions (direct):
K (0.333, 0.667, 0.190)
K (0.667, 0.333, 0.810)
Rb (0.000, 0.000, 0.500)
Sm (0.000, 0.000, 0.000)
V (0.333, 0.667, 0.741)
V (0.667, 0.333, 0.259)
O (0.177, 0.353, 0.820)
O (0.177, 0.823, 0.820)
O (0.333, 0.667, 0.524)
O (0.353, 0.177, 0.180)
O (0.647, 0.823, 0.820)
O (0.667, 0.333, 0.476)
O (0.823, 0.177, 0.180)
O (0.823, 0.647, 0.180)

Calculated values
Total DFT energy (no corrections) ... -105.467 eV per cell
Raw formation energy ... -59.00 kcal/mol of atoms
Magnetization ... 0.00 μB per formula unit
Symmetry ... P-3m1 (164)



Record 17
Computed, not measured: a relaxed structure of K2RbTbV2O8 at the PBEsol level of DFT.

a = 5.935 Å, b = 5.935 Å, c = 7.615 Å
α = 90.00°, β = 90.00°, γ = 120.00°
Positions (direct):
K (0.333, 0.667, 0.189)
K (0.667, 0.333, 0.811)
Rb (0.000, 0.000, 0.500)
Tb (0.000, 0.000, 0.000)
V (0.333, 0.667, 0.744)
V (0.667, 0.333, 0.256)
O (0.175, 0.350, 0.824)
O (0.175, 0.825, 0.824)
O (0.333, 0.667, 0.527)
O (0.350, 0.175, 0.176)
O (0.650, 0.825, 0.824)
O (0.667, 0.333, 0.473)
O (0.825, 0.175, 0.176)
O (0.825, 0.650, 0.176)

Calculated values
Total DFT energy (no corrections) ... -105.759 eV per cell
Raw formation energy ... -59.62 kcal/mol of atoms
Magnetization ... 0.00 μB per formula unit
Symmetry ... P-3m1 (164)



Record 18
Computed, not measured: a relaxed structure of K3ReO at the PBEsol level of DFT.

a = 5.263 Å, b = 5.263 Å, c = 5.263 Å
α = 90.00°, β = 90.00°, γ = 90.00°
Positions (direct):
K (0.000, 0.000, 0.500)
K (0.000, 0.500, 0.000)
K (0.500, 0.000, 0.000)
Re (0.500, 0.500, 0.500)
O (0.000, 0.000, 0.000)

Calculated values
Total DFT energy (no corrections) ... -18.160 eV per cell
Raw formation energy ... 17.63 kcal/mol of atoms
Magnetization ... 4.02 μB per formula unit
Symmetry ... Pm-3m (221)



Record 19
Computed, not measured: a relaxed structure of KReO4 at the PBEsol level of DFT.

a = 7.905 Å, b = 7.435 Å, c = 5.911 Å
α = 71.61°, β = 63.19°, γ = 45.20°
Positions (direct):
K (0.125, 0.125, 0.125)
K (0.875, 0.875, 0.875)
Re (0.375, 0.375, 0.375)
Re (0.625, 0.625, 0.625)
O (0.206, 0.699, 0.326)
O (0.268, 0.326, 0.699)
O (0.301, 0.794, 0.732)
O (0.326, 0.268, 0.206)
O (0.674, 0.732, 0.794)
O (0.699, 0.206, 0.268)
O (0.732, 0.674, 0.301)
O (0.794, 0.301, 0.674)

Calculated values
Total DFT energy (no corrections) ... -92.300 eV per cell
Raw formation energy ... -41.08 kcal/mol of atoms
Magnetization ... 0.00 μB per formula unit
Symmetry ... Fddd (70)



Record 20
Computed, not measured: a relaxed structure of KReO3 at the PBEsol level of DFT.

a = 3.896 Å, b = 3.896 Å, c = 3.896 Å
α = 90.00°, β = 90.00°, γ = 90.00°
Positions (direct):
K (0.000, 0.000, 0.000)
Re (0.500, 0.500, 0.500)
O (0.000, 0.500, 0.500)
O (0.500, 0.000, 0.500)
O (0.500, 0.500, 0.000)

Calculated values
Total DFT energy (no corrections) ... -38.861 eV per cell
Raw formation energy ... -39.88 kcal/mol of atoms
Magnetization ... 0.00 μB per formula unit
Symmetry ... Pm-3m (221)